Record 1
{"formula": "Ho2SiSn", "functional": "PBE-GGA", "state": "optimized geometry", "lattice": [[1.951, 1.126, 8.091], [-1.951, 1.126, 8.091], [0.000, -2.253, 8.091]], "species": ["Ho", "Ho", "Si", "Sn"], "frac_coords": [[0.238, 0.238, 0.238], [0.762, 0.762, 0.762], [0.500, 0.500, 0.500], [0.000, 0.000, 0.000]], "e_form_raw_ev_per_atom": -0.526}

Record 2
{"formula": "Ho12Si5Sn", "functional": "PBE-GGA", "state": "optimized geometry", "lattice": [[-4.708, 4.731, 5.099], [4.708, -4.731, 5.099], [4.708, 4.731, -5.099]], "species": ["Ho", "Ho", "Ho", "Ho", "Ho", "Ho", "Ho", "Ho", "Ho", "Ho", "Ho", "Ho", "Si", "Si", "Si", "Si", "Si", "Sn"], "frac_coords": [[0.036, 0.234, 0.802], [0.181, 0.270, 0.451], [0.181, 0.730, 0.910], [0.321, 0.024, 0.704], [0.321, 0.617, 0.296], [0.432, 0.234, 0.198], [0.568, 0.766, 0.802], [0.679, 0.383, 0.704], [0.679, 0.976, 0.296], [0.819, 0.270, 0.090], [0.819, 0.730, 0.549], [0.964, 0.766, 0.198], [0.000, 0.000, 0.000], [0.116, 0.616, 0.500], [0.371, 0.000, 0.371], [0.629, 0.000, 0.629], [0.884, 0.384, 0.500], [0.500, 0.500, 0.000]], "e_form_raw_ev_per_atom": -0.593}

Record 3
{"formula": "HoSiSn2", "functional": "PBE-GGA", "state": "optimized geometry", "lattice": [[4.442, 0.000, 0.000], [0.000, 4.442, 0.000], [0.000, 0.000, 4.726]], "species": ["Ho", "Si", "Sn", "Sn"], "frac_coords": [[0.000, 0.000, 0.000], [0.500, 0.500, 0.000], [0.000, 0.500, 0.500], [0.500, 0.000, 0.500]], "e_form_raw_ev_per_atom": -0.260}

Record 4
{"formula": "Ho3SiSn2", "functional": "PBE-GGA", "state": "optimized geometry", "lattice": [[12.274, 0.000, 0.000], [0.000, 4.261, 0.000], [0.000, 0.000, 11.804]], "species": ["Ho", "Ho", "Ho", "Ho", "Ho", "Ho", "Ho", "Ho", "Ho", "Ho", "Ho", "Ho", "Si", "Si", "Si", "Si", "Sn", "Sn", "Sn", "Sn", "Sn", "Sn", "Sn", "Sn"], "frac_coords": [[0.055, 0.250, 0.120], [0.114, 0.750, 0.546], [0.240, 0.250, 0.780], [0.260, 0.750, 0.280], [0.386, 0.250, 0.046], [0.445, 0.750, 0.620], [0.555, 0.250, 0.380], [0.614, 0.750, 0.954], [0.740, 0.250, 0.720], [0.760, 0.750, 0.220], [0.886, 0.250, 0.454], [0.945, 0.750, 0.880], [0.125, 0.250, 0.371], [0.375, 0.750, 0.871], [0.625, 0.250, 0.129], [0.875, 0.750, 0.629], [0.005, 0.250, 0.703], [0.190, 0.750, 0.997], [0.310, 0.250, 0.497], [0.495, 0.750, 0.203], [0.505, 0.250, 0.797], [0.690, 0.750, 0.503], [0.810, 0.250, 0.003], [0.995, 0.750, 0.297]], "e_form_raw_ev_per_atom": -0.626}

Record 5
{"formula": "Ho5Si2Sn", "functional": "PBE-GGA", "state": "optimized geometry", "lattice": [[-3.875, 3.875, 6.751], [3.875, -3.875, 6.751], [3.875, 3.875, -6.751]], "species": ["Ho", "Ho", "Ho", "Ho", "Ho", "Ho", "Ho", "Ho", "Ho", "Ho", "Si", "Si", "Si", "Si", "Sn", "Sn"], "frac_coords": [[0.000, 0.000, 0.000], [0.020, 0.520, 0.820], [0.199, 0.020, 0.500], [0.301, 0.801, 0.820], [0.480, 0.301, 0.500], [0.500, 0.500, 0.000], [0.520, 0.699, 0.500], [0.699, 0.199, 0.180], [0.801, 0.980, 0.500], [0.980, 0.480, 0.180], [0.140, 0.360, 0.500], [0.360, 0.860, 0.221], [0.640, 0.140, 0.779], [0.860, 0.640, 0.500], [0.250, 0.250, 0.000], [0.750, 0.750, 0.000]], "e_form_raw_ev_per_atom": -0.687}

Record 6
{"formula": "Ho7Si5Sn", "functional": "PBE-GGA", "state": "optimized geometry", "lattice": [[-2.889, 5.384, 4.913], [2.889, -5.384, 4.913], [2.889, 5.384, -4.913]], "species": ["Ho", "Ho", "Ho", "Ho", "Ho", "Ho", "Ho", "Si", "Si", "Si", "Si", "Si", "Sn"], "frac_coords": [[0.000, 0.000, 0.000], [0.307, 0.633, 0.674], [0.375, 0.375, 0.000], [0.419, 0.085, 0.335], [0.750, 0.085, 0.665], [0.848, 0.348, 0.500], [0.960, 0.633, 0.326], [0.107, 0.150, 0.528], [0.107, 0.579, 0.958], [0.354, 0.854, 0.500], [0.621, 0.150, 0.042], [0.621, 0.579, 0.472], [0.685, 0.685, 0.000]], "e_form_raw_ev_per_atom": -0.457}